[1]
A plane-wave DFT calculation with GGA-PBE was carried out for a geometry-optimized Ga2SnS4 structure.

Summary:
The magnetization comes out at 0.00 μB per formula unit. The calculation puts the raw formation energy at -0.5171 eV/atom.

a b c (Å): 7.6074 7.6074 6.0585
angles (deg): 90.00 90.00 90.00
Last column: nearest neighbours and their distance in Å.
Space group I4/m (No. 87)
Asymmetric unit:
Ga (0.0000, 0.5000, 0.2500)  4 S 2.31
Sn (0.0000, 0.0000, 0.0000)  4 S 2.91
S (0.1561, 0.3318, 0.5000)  2 Ga 2.31

---

[2]
A plane-wave DFT calculation with GGA-PBE was carried out for a geometry-optimized Ga2Sn2S5 structure.

Summary:
The magnetization comes out at 0.00 μB per formula unit. The density of states at the Fermi level comes out at 0.1 states/eV/f.u. The calculation puts the raw formation energy at -0.4841 eV/atom.

a b c (Å): 14.7673 3.8556 9.6734
angles (deg): 90.00 117.23 90.00
Last column: nearest neighbours and their distance in Å.
Space group C2/m (No. 12)
Asymmetric unit:
Ga (0.2220, 0.0000, 0.1082)  4 S 2.20-2.40
Sn (0.0907, 0.5000, 0.4031)  3 S 2.68-2.75
S (0.0000, 0.0000, 0.5000)  4 Sn 2.75
S (0.1403, 0.5000, 0.9523)  3 Ga 2.36-2.40
S (0.2292, 0.0000, 0.3400)  1 Ga 2.20

---

[3]
A plane-wave DFT calculation with GGA-PBE was carried out for a geometry-optimized GaSnS structure.

Summary:
The magnetization comes out at 0.00 μB per formula unit. The density of states at the Fermi level comes out at 1.2 states/eV/f.u. The calculation puts the raw formation energy at -0.1846 eV/atom.

a b c (Å): 3.4953 3.4953 6.4545
angles (deg): 90.00 90.00 120.00
Last column: nearest neighbours and their distance in Å.
Space group P3m1 (No. 156)
Asymmetric unit:
Ga (0.0000, 0.0000, 0.0000)  3 S 2.39
Sn (0.3333, 0.6667, 0.6163)  3 Ga 3.19, 3 S 3.37, 6 Sn 3.50
S (0.6667, 0.3333, 0.1985)  3 Ga 2.39

---

[4]
A plane-wave DFT calculation with GGA-PBE was carried out for a geometry-optimized Ga2SnS structure.

Summary:
The magnetization comes out at 0.00 μB per formula unit. The density of states at the Fermi level comes out at 0.2 states/eV/f.u. The calculation puts the raw formation energy at -0.2206 eV/atom.

a b c (Å): 5.9119 5.9119 11.9268
angles (deg): 90.00 90.00 90.00
Last column: nearest neighbours and their distance in Å.
Space group I-42d (No. 122)
Asymmetric unit:
Ga (0.2284, 0.2500, 0.1250)  2 S 2.50, 2 Sn 2.64
Sn (0.0000, 0.0000, 0.5000)  4 Ga 2.64
S (0.0000, 0.0000, 0.0000)  4 Ga 2.50

---

[5]
A plane-wave DFT calculation with GGA-PBE was carried out for a geometry-optimized Ga2SnS structure.

Summary:
The magnetization comes out at 0.00 μB per formula unit. The density of states at the Fermi level comes out at 1.7 states/eV/f.u. The calculation puts the raw formation energy at -0.0897 eV/atom.

a b c (Å): 3.4474 3.4474 27.2696
angles (deg): 90.00 90.00 120.00
Last column: nearest neighbours and their distance in Å.
Space group R-3m (No. 166, hexagonal axes)
Asymmetric unit:
Ga (0.0000, 0.0000, 0.1061)  3 S 2.59, 1 Sn 2.89
Sn (0.0000, 0.0000, 0.0000)  2 Ga 2.89
S (0.0000, 0.0000, 0.5000)  6 Ga 2.59

---

[6]
A plane-wave DFT calculation with GGA-PBE was carried out for a geometry-optimized GaSnS3 structure.

Summary:
The magnetization comes out at 0.00 μB per formula unit. The density of states at the Fermi level comes out at 2.3 states/eV/f.u. The calculation puts the raw formation energy at -0.0203 eV/atom.

a b c (Å): 4.7354 4.7354 4.7354
angles (deg): 90.00 90.00 90.00
Last column: nearest neighbours and their distance in Å.
Space group Pm-3m (No. 221)
Asymmetric unit:
Ga (0.0000, 0.0000, 0.0000)  6 S 2.37
Sn (0.5000, 0.5000, 0.5000)  12 S 3.35
S (0.0000, 0.0000, 0.5000)  2 Ga 2.37

---

[7]
A plane-wave DFT calculation with GGA-PBE was carried out for a geometry-optimized GaSnS2 structure.

Summary:
The magnetization comes out at 0.00 μB per formula unit. The density of states at the Fermi level comes out at 2.4 states/eV/f.u. The calculation puts the raw formation energy at -0.2596 eV/atom.

a b c (Å): 6.8310 6.8310 8.3323
angles (deg): 90.00 90.00 90.00
Last column: nearest neighbours and their distance in Å.
Space group I-42d (No. 122)
Asymmetric unit:
Ga (0.0000, 0.0000, 0.0000)  4 S 2.42
Sn (0.0000, 0.0000, 0.5000)  4 S 2.87
S (0.1983, 0.2500, 0.1250)  2 Ga 2.42

---

[8]
A plane-wave DFT calculation with GGA-PBE was carried out for a geometry-optimized GaSnS2 structure.

Summary:
The magnetization comes out at 0.00 μB per formula unit. The density of states at the Fermi level comes out at 1.0 states/eV/f.u. The calculation puts the raw formation energy at -0.3790 eV/atom.

a b c (Å): 3.5514 3.5514 24.6078
angles (deg): 90.00 90.00 120.00
Last column: nearest neighbours and their distance in Å.
Space group R-3m (No. 166, hexagonal axes)
Asymmetric unit:
Ga (0.0000, 0.0000, 0.0000)  6 S 2.45
Sn (0.0000, 0.0000, 0.5000)  2 S 2.75
S (0.0000, 0.0000, 0.3881)  3 Ga 2.45

---

[9]
A plane-wave DFT calculation with GGA-PBE was carried out for a geometry-optimized GaSn3S structure.

Summary:
The magnetization comes out at 0.00 μB per formula unit. The density of states at the Fermi level comes out at 2.3 states/eV/f.u. The calculation puts the raw formation energy at 0.3237 eV/atom.

a b c (Å): 5.3512 5.3512 5.3512
angles (deg): 90.00 90.00 90.00
Last column: nearest neighbours and their distance in Å.
Space group Pm-3m (No. 221)
Asymmetric unit:
Ga (0.0000, 0.0000, 0.0000)  12 Sn 3.78
Sn (0.0000, 0.5000, 0.5000)  2 S 2.68
S (0.5000, 0.5000, 0.5000)  6 Sn 2.68

---

[10]
A plane-wave DFT calculation with GGA-PBE was carried out for a geometry-optimized GaSnS2 structure.

Summary:
The magnetization comes out at 0.00 μB per formula unit. The density of states at the Fermi level comes out at 1.4 states/eV/f.u. The calculation puts the raw formation energy at -0.1630 eV/atom.

a b c (Å): 3.7164 3.7164 25.9232
angles (deg): 90.00 90.00 120.00
Last column: nearest neighbours and their distance in Å.
Space group R-3m (No. 166, hexagonal axes)
Asymmetric unit:
Ga (0.0000, 0.0000, 0.0000)  2 S 2.79
Sn (0.0000, 0.0000, 0.5000)  6 S 2.64
S (0.0000, 0.0000, 0.1075)  3 Sn 2.64, 1 Ga 2.79

---

[11]
A plane-wave DFT calculation with GGA-PBE was carried out for a geometry-optimized GaSnS3 structure.

Summary:
The magnetization comes out at 0.00 μB per formula unit. The density of states at the Fermi level comes out at 2.1 states/eV/f.u. The calculation puts the raw formation energy at -0.3978 eV/atom.

a b c (Å): 7.2825 3.7397 9.5305
angles (deg): 90.00 90.07 90.00
Last column: nearest neighbours and their distance in Å.
Space group P2_1/m (No. 11)
Asymmetric unit:
Ga (0.0560, 0.2500, 0.1273)  4 S 2.23-2.39
Sn (0.2928, 0.2500, 0.5729)  5 S 2.63-2.89
S (0.0041, 0.7500, 0.6436)  1 Ga 2.23
S (0.2034, 0.7500, 0.0274)  3 Ga 2.36-2.39
S (0.4797, 0.2500, 0.3371)  3 Sn 2.63-2.64

---

[12]
A plane-wave DFT calculation with GGA-PBE was carried out for a geometry-optimized GaSnS2 structure.

Summary:
The magnetization comes out at 0.00 μB per formula unit. The density of states at the Fermi level comes out at 1.0 states/eV/f.u. The calculation puts the raw formation energy at -0.4031 eV/atom.

a b c (Å): 5.2293 3.6569 5.3727
angles (deg): 90.00 114.38 90.00
Last column: nearest neighbours and their distance in Å.
Space group Pm (No. 6)
Asymmetric unit:
Ga (0.0000, 0.0000, 0.0000)  3 S 2.39-2.43
Sn (0.7655, 0.5000, 0.3055)  3 S 2.60-2.67
S (0.2459, 0.5000, 0.9125)  2 Ga 2.39, 1 Sn 2.67
S (0.6060, 0.0000, 0.5558)  1 Ga 2.43, 2 Sn 2.60